Version i
Material: Y2CoBr
Method: DFT, PBE-GGA
State: relaxed

As for the density of states at the Fermi level: 2.37 states/eV/cell.

Cell: 6.3545 6.3545 6.3545 Å, 143.48 143.48 52.61°
Closest atoms and distances in Å follow each position.
Sites, in units of the cell vectors:
Y1 0.2500 0.7500 0.5000  4 Co 2.82
Y2 0.0000 0.0000 0.0000  4 Br 2.82
Co1 0.7500 0.2500 0.5000  4 Y 2.82
Br1 0.5000 0.5000 0.0000  4 Y 2.82

Version ii
Material: Y2CoBr
Method: DFT, PBE-GGA
State: relaxed

As for the density of states at the Fermi level: 1.42 states/eV/cell.

Cell: 3.8784 3.8784 7.9272 Å, 75.83 75.83 60.02°
Closest atoms and distances in Å follow each position.
Sites, in units of the cell vectors:
Y1 0.9801 0.9801 0.0594  3 Co 2.67
Y2 0.5199 0.5199 0.4406  3 Co 2.67
Br1 0.7500 0.7500 0.7500  6 Y 3.25
Co1 0.2500 0.2500 0.2500  6 Y 2.67

Version iii
Material: Y2CoBr
Method: DFT, PBE-GGA
State: relaxed

As for the density of states at the Fermi level: 4.04 states/eV/cell.

Cell: 9.9478 9.9478 9.9478 Å, 20.89 20.89 20.89°
Closest atoms and distances in Å follow each position.
Sites, in units of the cell vectors:
Y1 0.0127 0.0127 0.0127  3 Co 2.75
Y2 0.2412 0.2412 0.2412  3 Br 2.91
Br1 0.5051 0.5051 0.5051  3 Y 2.91
Co1 0.7410 0.7410 0.7410  3 Y 2.75

It comes down to version ii, which is 561 meV per atom more stable than the next structure.

Version i
Material: Y2CoBr
Method: DFT, PBE-GGA
State: relaxed

As for the density of states at the Fermi level: 2.42 states/eV/cell.

Cell: 3.3828 3.3828 8.1027 Å, 90.00 90.00 90.05°
Closest atoms and distances in Å follow each position.
Sites, in units of the cell vectors:
Br1 0.5000 0.5000 0.2500  4 Br 3.38, 8 Y 3.40
Y1 0.0000 0.0000 0.9520  4 Co 2.90
Y2 0.0000 0.0000 0.5480  4 Co 2.90
Co1 0.5000 0.5000 0.7500  8 Y 2.90

Version ii
Material: Y2CoBr
Method: DFT, PBE-GGA
State: relaxed

As for the density of states at the Fermi level: 2.43 states/eV/cell.

Cell: 3.3973 3.4835 8.2705 Å, 90.02 90.00 90.00°
Closest atoms and distances in Å follow each position.
Sites, in units of the cell vectors:
Br1 0.5000 0.2500 0.2500  4 Y 3.03
Co1 0.5000 0.7500 0.7500  8 Y 2.92-2.93
Y1 0.0000 0.2496 0.5537  4 Co 2.92-2.93, 2 Br 3.03, 1 Y 3.25
Y2 0.0000 0.2504 0.9463  4 Co 2.92-2.93, 2 Br 3.03, 1 Y 3.25

Version iii
Material: Y2CoBr
Method: DFT, PBE-GGA
State: relaxed

As for the density of states at the Fermi level: 4.21 states/eV/cell.

Cell: 8.1637 8.1638 8.1638 Å, 154.50 155.09 35.95°
Closest atoms and distances in Å follow each position.
Sites, in units of the cell vectors:
Y1 0.7766 0.2766 0.5000  4 Co 2.79
Y2 0.0750 0.0750 0.0000  2 Co 2.64
Br1 0.4492 0.4492 0.0000  6 Y 3.19-3.21, 2 Br 3.52
Co1 0.1992 0.6992 0.5000  6 Y 2.64-2.79

Version iv
Material: Y2CoBr
Method: DFT, PBE-GGA
State: relaxed

As for the density of states at the Fermi level: 2.69 states/eV/cell.

Cell: 5.3084 5.3084 5.3084 Å, 135.56 112.49 84.46°
Closest atoms and distances in Å follow each position.
Sites, in units of the cell vectors:
Co1 0.2500 0.7500 0.5000  4 Y 2.70
Y1 0.4788 0.4788 0.0000  2 Co 2.70, 2 Br 2.93
Y2 0.0212 0.0212 0.0000  2 Co 2.70, 2 Br 2.93
Br1 0.7500 0.2500 0.5000  4 Y 2.93

It comes down to version ii, which is 50 meV per atom more stable than the next structure.

Version i
Material: Y2CoBr
Method: DFT, PBE-GGA
State: relaxed

As for the density of states at the Fermi level: 7.35 states/eV/cell.

Cell: 7.2316 7.2316 6.5034 Å, 56.22 56.22 90.00°
Closest atoms and distances in Å follow each position.
Sites, in units of the cell vectors:
Y1 0.1692 0.6250 0.2500  2 Co 2.55
Y2 0.5808 0.1250 0.2500  2 Co 2.55
Y3 0.8750 0.8308 0.7500  2 Co 2.55
Y4 0.3750 0.4192 0.7500  2 Co 2.55
Br1 0.7500 0.2500 0.5000  4 Y 2.97
Br2 0.0000 0.0000 0.0000  4 Y 2.97
Co1 0.2500 0.7500 0.5000  4 Y 2.55
Co2 0.5000 0.5000 0.0000  4 Y 2.55

Version ii
Material: Y2CoBr
Method: DFT, PBE-GGA
State: relaxed

As for the density of states at the Fermi level: 3.63 states/eV/cell.

Cell: 5.1351 5.1351 3.3457 Å, 86.43 86.43 90.42°
Closest atoms and distances in Å follow each position.
Sites, in units of the cell vectors:
Co1 0.0000 0.5000 0.5000  8 Y 2.98-3.15
Br1 0.5000 0.0000 0.5000  8 Y 2.98-3.15
Y1 0.0000 0.0000 0.0000  4 Br 2.98-3.15, 4 Co 2.98-3.15
Y2 0.5000 0.5000 0.0000  4 Co 2.98-3.15, 4 Br 2.98-3.15

It comes down to version ii, which is 26 meV per atom more stable than the next structure.

Version i
Material: Y2CoBr
Method: DFT, PBE-GGA
State: relaxed

As for the density of states at the Fermi level: 3.91 states/eV/cell.

Cell: 5.7620 4.0145 4.0158 Å, 90.00 90.00 90.00°
Closest atoms and distances in Å follow each position.
Sites, in units of the cell vectors:
Br1 0.0000 0.3752 0.3751  6 Y 2.84-2.88
Y1 0.5000 0.3749 0.3748  4 Co 2.84, 2 Br 2.88
Y2 0.0000 0.8751 0.8750  4 Br 2.84, 2 Co 2.88
Co1 0.5000 0.8748 0.8751  6 Y 2.84-2.88

Version ii
Material: Y2CoBr
Method: DFT, PBE-GGA
State: relaxed

As for the density of states at the Fermi level: 5.02 states/eV/cell.

Cell: 5.0301 5.0301 5.0301 Å, 60.00 60.00 60.00°
Closest atoms and distances in Å follow each position.
Sites, in units of the cell vectors:
Br1 0.5000 0.5000 0.5000  4 Y 3.08, 4 Co 3.08
Y1 0.2500 0.2500 0.2500  4 Y 3.08, 4 Br 3.08
Y2 0.0000 0.0000 0.0000  4 Co 3.08, 4 Y 3.08
Co1 0.7500 0.7500 0.7500  4 Br 3.08, 4 Y 3.08

It comes down to version i, which is 852 meV per atom more stable than the next structure.